VASP calculation (GGA+U) on a relaxed structure of Fe2CoPbO4.

Computed properties:
Fermi-level density of states = 0.0 states/eV/cell
Energy = -48.90 eV per cell

```
8
Lattice="-2.716 2.716 3.726 2.716 -2.716 3.726 2.716 2.716 -3.726" Properties=species:S:1:pos:R:3 pbc="T T T"
Fe 2.716 0.000 1.863
Fe 0.000 2.716 1.863
Co 0.000 0.000 0.000
Pb 0.000 0.000 3.726
O 1.584 -1.584 2.505
O 1.132 1.132 1.220
O -1.584 1.584 2.505
O 1.584 1.584 4.946
```